PBE-GGA Tb5Y3Tl2, relaxed; energy = -4.6047 eV/atom; energy of formation = 2.84 kcal/mol of atoms
1.0
-6.4535 7.6862 3.2333
6.4535 -7.6862 3.2333
6.4535 7.6862 -3.2333
Tb Y Tl
10 6 4
Cartesian
1.4825 2.5380 0.0000 Tb
3.2549 7.6862 -1.6166 Tb
0.0000 0.0000 1.6166 Tb
3.1986 0.0000 1.6166 Tb
7.9360 5.1482 0.0000 Tb
-1.4825 2.5380 3.2333 Tb
3.2549 7.6862 1.6166 Tb
0.0000 0.0000 4.8499 Tb
3.1986 0.0000 4.8499 Tb
4.9710 5.1482 3.2333 Tb
4.9181 3.4734 0.0000 Y
6.4535 0.0000 1.6166 Y
4.9181 -3.4734 3.2333 Y
1.5354 11.1597 0.0000 Y
0.0000 7.6862 1.6166 Y
1.5354 4.2128 3.2333 Y
8.1363 2.2171 0.0000 Tl
1.6828 5.4691 0.0000 Tl
4.7707 2.2171 3.2333 Tl
-1.6828 5.4691 3.2333 Tl